Entry 1:
Computed, not measured: a relaxed structure of BMoP3 at the PBE level of DFT.

Calculated values
Energy: -5.416 eV per atom
Crystal system: cubic
Space group: Pm-3m (221)
ΔH_f (0 K): 128.45 kJ per mole of atoms

```
5
Lattice="-3.9172 -1.5229 2.0561 1.8600 -4.2767 0.3760 1.7570 1.1322 4.1859" Properties=species:S:1:pos:R:3 pbc="T T T"
P 0.8785 0.5661 2.0930
P -1.9586 -0.7614 1.0281
P 0.9300 -2.1383 0.1880
B -0.1501 -2.3337 3.3090
Mo 0.0000 0.0000 0.0000
```

=====

Entry 2:
Computed, not measured: a relaxed structure of CuTc2Se at the PBE level of DFT.

Calculated values
Energy: -6.825 eV per atom
Crystal system: trigonal
ΔE_f (raw): 253 meV per atom
Space group: R3m (160)

```
4
Lattice="-4.9699 -2.8848 -6.4239 -2.4725 -2.6476 -7.8208 -3.0519 -5.0184 -6.3080" Properties=species:S:1:pos:R:3 pbc="T T T"
Se -2.6650 -2.6793 -5.2192
Tc -7.8517 -7.8939 -15.3772
Tc -10.4832 -10.5395 -20.5310
Cu -5.2360 -5.2642 -10.2546
```

=====

Entry 3:
Computed, not measured: a relaxed structure of Cs4NaCd2 at the PBE level of DFT.

Calculated values
Energy: -0.958 eV per atom
Crystal system: triclinic
Space group: P-1 (2)
ΔH_f (0 K): -2.01 kJ per mole of atoms

```
7
Lattice="-5.2321 0.0382 -0.2101 -5.1745 -8.0008 8.2424 -5.2454 6.3096 4.2437" Properties=species:S:1:pos:R:3 pbc="T T T"
Cd -6.5297 -0.1266 6.3321
Cd -9.1224 -1.5265 5.9439
Cs -6.3641 -2.2653 2.9853
Cs -9.2880 0.6122 9.2907
Cs -3.9069 1.8363 3.9187
Cs -11.7452 -3.4894 8.3574
Na -2.6161 0.0191 -0.1050
```

=====

Entry 4:
Computed, not measured: a relaxed structure of La2CuTe4 at the PBE level of DFT.

Calculated values
Energy: -4.962 eV per atom
Crystal system: monoclinic
ΔE_f (raw): -1174 meV per atom
Space group: P2_1 (4)

```
14
Lattice="-0.7291 3.5314 7.7953 -6.3614 0.6644 -0.8959 -1.2024 -7.0285 3.0715" Properties=species:S:1:pos:R:3 pbc="T T T"
Te -6.0326 -5.0417 4.0502
Te -5.4283 2.6157 5.3864
Te -4.5345 -0.7943 8.5620
Te -3.9939 -0.8974 3.9276
Te -2.8618 -5.4621 4.5542
Te -6.7731 -1.6997 0.9693
Te -2.2548 2.1826 5.8624
Te -1.2836 -2.2771 6.4760
La -3.4870 -1.0879 0.6966
La -6.9374 0.5261 3.2642
La -1.6306 -2.0262 9.6484
La -4.5230 -3.1150 6.2497
Cu -2.9262 -0.2255 6.5799
Cu -5.3134 -2.8655 2.8209
```

=====

Entry 5:
Computed, not measured: a relaxed structure of CrP2Se at the PBE level of DFT.

Calculated values
Energy: -5.661 eV per atom
Crystal system: tetragonal
ΔE_f (raw): 321 meV per atom
Space group: I-42d (122)

```
8
Lattice="-3.2863 -2.2329 -3.8321 -3.0535 -2.3199 3.9705 -6.2671 2.0407 0.2098" Properties=species:S:1:pos:R:3 pbc="T T T"
Se -6.3617 -1.2343 -1.7766
Se 0.0000 0.0000 0.0000
Cr -6.2453 -1.2779 2.1247
Cr -3.1699 -2.2764 0.0692
P -4.0647 -1.3403 1.8466
P -3.8238 -1.0540 -1.6380
P -7.2438 -0.3030 0.4251
P -10.0817 -2.3271 0.0626
```

=====

Entry 6:
Computed, not measured: a relaxed structure of Y5Zn3 at the PBE level of DFT.

Calculated values
Energy: -4.708 eV per atom
Crystal system: hexagonal
Space group: P6_3/mcm (193)
ΔH_f (0 K): -18.38 kJ per mole of atoms

```
16
Lattice="8.5712 -0.0007 0.0000 4.2862 7.4229 0.0000 0.0000 0.0000 6.5973" Properties=species:S:1:pos:R:3 pbc="T T T"
Zn 6.0197 4.4197 1.6493
Zn 9.3900 7.4224 1.6493
Zn 2.5523 4.4200 4.9479
Zn 3.4674 -0.0003 4.9479
Zn 6.8377 3.0025 4.9479
Zn 1.7340 3.0030 1.6493
Y 8.5717 4.9481 3.2987
Y 8.5717 4.9481 6.5972
Y 5.3235 5.6259 4.9479
Y 6.4964 -0.0005 4.9479
Y 4.2857 2.4741 6.5971
Y 7.5341 1.7964 1.6493
Y 3.2487 5.6260 1.6493
Y 4.2857 2.4741 3.2988
Y 1.0377 1.7970 4.9479
Y 2.0750 -0.0001 1.6493
```

=====

Entry 7:
Computed, not measured: a relaxed structure of TbEr3Zn8 at the PBE level of DFT.

Calculated values
Energy: -2.708 eV per atom
Crystal system: trigonal
Space group: R3m (160)
ΔH_f (0 K): -32.04 kJ per mole of atoms

```
12
Lattice="-1.2229 -3.3263 4.1396 1.1136 -5.3222 -0.3608 7.9581 -1.4483 4.7740" Properties=species:S:1:pos:R:3 pbc="T T T"
Er -0.1076 -8.6482 3.7796
Er 3.9296 -5.0475 4.2787
Er 6.9180 -4.5113 5.5924
Zn 5.3780 -9.1049 6.8301
Zn 1.9930 -6.7207 2.3622
Zn 4.8201 -6.4386 7.0109
Zn 3.4600 -2.2555 2.7966
Zn 7.3873 -7.3034 7.0743
Zn 1.4350 -4.0539 2.5429
Zn 0.8222 -5.7206 4.6172
Zn 5.9906 -7.4385 4.7563
Tb 2.8856 -8.1111 5.0954
```

=====

Entry 8:
Computed, not measured: a relaxed structure of NaZn2AgF6 at the PBE level of DFT.

Calculated values
Energy: -3.907 eV per atom
Crystal system: monoclinic
ΔE_f (raw): -2112 meV per atom
Space group: C2/c (15)

```
20
Lattice="5.6194 -0.4752 -0.4931 1.2433 7.0510 0.8072 1.2433 0.5453 7.0761" Properties=species:S:1:pos:R:3 pbc="T T T"
Ag 5.4579 4.5225 2.5304
Ag 2.6482 2.5986 4.8598
F 4.8284 4.5388 4.9778
F 2.4304 1.3565 -0.0018
F 2.0187 5.0438 4.9667
F 5.2401 -0.2896 1.1089
F 3.2776 2.5824 2.4124
F 6.0873 2.0774 2.4234
F 1.3798 4.4983 0.8655
F 6.7262 2.6228 6.5247
F 4.1895 0.4606 4.2807
F 2.8659 7.4108 6.2813
F 5.6756 5.7647 7.3919
F 3.9165 6.6606 3.1094
Na 2.6482 6.3361 1.2583
Na 5.4579 0.7850 6.1318
Zn 3.7204 6.2041 5.0321
Zn 4.3856 0.9170 2.3580
Zn 6.5301 4.5611 6.1398
Zn 1.5759 2.5600 1.2504
```

=====

Entry 9:
Computed, not measured: a relaxed structure of CsCa2Au2 at the PBE level of DFT.

Calculated values
Energy: -2.723 eV per atom
Crystal system: tetragonal
Space group: I4/mmm (139)
ΔH_f (0 K): -42.52 kJ per mole of atoms

```
5
Lattice="5.1490 0.0000 0.0000 0.0000 5.1490 0.0000 2.5745 2.5745 6.3654" Properties=species:S:1:pos:R:3 pbc="T T T"
Au 5.1490 5.1490 4.8784
Au 2.5745 2.5745 1.4870
Ca 2.5745 5.1490 3.1827
Ca 5.1490 2.5745 3.1827
Cs 0.0000 0.0000 0.0000
```

=====

Entry 10:
Computed, not measured: a relaxed structure of Ce2Te3H at the PBE level of DFT.

Calculated values
Energy: -5.007 eV per atom
Crystal system: orthorhombic
Space group: Ibam (72)

```
12
Lattice="6.8697 0.0000 0.0000 0.0000 8.1508 0.0000 -3.4348 -4.0754 7.0722" Properties=species:S:1:pos:R:3 pbc="T T T"
H 0.0000 4.0754 0.0000
H 0.0000 0.0000 0.0000
Te 3.4348 -2.0377 3.7092
Te 3.4348 2.0377 0.0000
Te 3.4348 2.0377 3.7092
Te 0.0000 2.0377 3.3630
Te 3.4348 6.1131 0.0000
Te 0.0000 6.1131 3.3630
Ce -1.7206 4.0754 5.3570
Ce 1.7206 0.0000 5.3570
Ce 5.1554 0.0000 1.7152
Ce 1.7142 4.0754 1.7152
```